Entry 1:
Density functional theory data (PBE-GGA) for YRhCl2 after structural relaxation.

Calculated values
Space group: R-3m
Crystal system: trigonal
Relative energy among the computed polymorphs (eV/atom): 0.875
Raw total energy (eV per atom): -4.724

Geometry as CIF:
```
data_YRhCl2
_chemical_formula_sum 'Y1 Rh1 Cl2'
_space_group_name_H-M_alt 'P 1'
_space_group_IT_number 1
_cell_length_a 8.247
_cell_length_b 8.247
_cell_length_c 8.247
_cell_angle_alpha 26.75
_cell_angle_beta 26.75
_cell_angle_gamma 26.75
loop_
_space_group_symop_operation_xyz
'x,y,z'
loop_
_atom_site_label
_atom_site_type_symbol
_atom_site_fract_x
_atom_site_fract_y
_atom_site_fract_z
Y1 Y 0.000 0.000 0.000
Rh1 Rh 0.500 0.500 0.500
Cl1 Cl 0.110 0.110 0.110
Cl2 Cl 0.890 0.890 0.890
```

=====

Entry 2:
Density functional theory data (PBE-GGA) for YRh3Cl after structural relaxation.

Calculated values
Space group: Pm-3m
Crystal system: cubic
Relative energy among the computed polymorphs (eV/atom): 1.251
Raw total energy (eV per atom): -4.787

Geometry as CIF:
```
data_YRh3Cl
_chemical_formula_sum 'Y1 Rh3 Cl1'
_space_group_name_H-M_alt 'P 1'
_space_group_IT_number 1
_cell_length_a 5.045
_cell_length_b 5.045
_cell_length_c 5.045
_cell_angle_alpha 90.00
_cell_angle_beta 90.00
_cell_angle_gamma 90.00
loop_
_space_group_symop_operation_xyz
'x,y,z'
loop_
_atom_site_label
_atom_site_type_symbol
_atom_site_fract_x
_atom_site_fract_y
_atom_site_fract_z
Y1 Y 0.000 0.000 0.000
Rh1 Rh 0.000 0.000 0.500
Rh2 Rh 0.000 0.500 0.000
Rh3 Rh 0.500 0.000 0.000
Cl1 Cl 0.500 0.500 0.500
```

=====

Entry 3:
Density functional theory data (PBE-GGA) for YRh2Cl after structural relaxation.

Calculated values
Space group: I4/mmm
Crystal system: tetragonal
Relative energy among the computed polymorphs (eV/atom): 0.185
Raw total energy (eV per atom): -6.118

Geometry as CIF:
```
data_YRh2Cl
_chemical_formula_sum 'Y1 Rh2 Cl1'
_space_group_name_H-M_alt 'P 1'
_space_group_IT_number 1
_cell_length_a 5.793
_cell_length_b 5.793
_cell_length_c 5.793
_cell_angle_alpha 141.83
_cell_angle_beta 141.83
_cell_angle_gamma 55.08
loop_
_space_group_symop_operation_xyz
'x,y,z'
loop_
_atom_site_label
_atom_site_type_symbol
_atom_site_fract_x
_atom_site_fract_y
_atom_site_fract_z
Y1 Y 0.000 0.000 0.000
Rh1 Rh 0.250 0.750 0.500
Rh2 Rh 0.750 0.250 0.500
Cl1 Cl 0.500 0.500 0.000
```